# 1
First-principles (GGA-PBE) data for crystalline DyBiN2O at its relaxed geometry, as listed in OQMD via LeMat-Bulk.

Cell: 5.822 5.970 9.963 Å, 90.53 106.61 118.39°
Space group P1 (No. 1)
Unique sites:
Dy: 0.000 0.000 0.000
Dy: 0.027 0.544 0.493
Dy: 0.456 0.771 0.245
Dy: 0.520 0.275 0.746
Bi: 0.223 0.135 0.375
Bi: 0.257 0.612 0.882
Bi: 0.748 0.399 0.136
Bi: 0.809 0.896 0.641
N: 0.063 0.643 0.032
N: 0.097 0.400 0.286
N: 0.105 0.194 0.556
N: 0.181 0.834 0.718
N: 0.391 0.329 0.956
N: 0.414 0.131 0.224
N: 0.857 0.732 0.304
N: 0.887 0.206 0.796
O: 0.447 0.867 0.483
O: 0.626 0.687 0.796
O: 0.631 0.949 0.051
O: 0.636 0.461 0.544

Results
Final energy   -132.8 eV per cell
Calculated volume   14.38 Å³/atom

=====

# 2
First-principles (GGA-PBE) data for crystalline K2Ho4Au4S9 at its relaxed geometry, as listed in OQMD via LeMat-Bulk.

Cell: 14.106 4.059 16.410 Å, 90.00 107.16 90.00°
Space group C2/m (No. 12)
Unique sites:
K: 0.048 0.000 0.279
Ho: 0.149 0.500 0.558
Ho: 0.250 0.000 0.118
Au: 0.044 0.500 0.915
Au: 0.236 0.000 0.724
S: 0.000 0.000 0.500
S: 0.124 0.500 0.716
S: 0.133 0.500 0.136
S: 0.149 0.000 0.941
S: 0.214 0.500 0.410

Results
Final energy   -189.7 eV per cell
Calculated volume   23.63 Å³/atom